Record 1
Density functional theory data (PBE) for a geometry-optimized TlCoAs2Se structure.

Computed properties:
Volume (Å³/atom): 29.94
Space-group type: P4/mmm
M_tot (μB/f.u.): 2.5
Energy above the most stable polymorph in this dataset (eV/atom): 1.334
DOS at the Fermi energy (states/eV/atom): 1.67
E_form (uncorrected) (meV/atom): 1557

Geometry as POSCAR:
```
TlCoAs2Se
1.0
5.272 0.000 0.000
0.000 5.272 0.000
0.000 0.000 5.387
Tl Co As Se
1 1 2 1
direct
0.000 0.000 0.000 Tl
0.500 0.500 0.500 Co
0.000 0.500 0.000 As
0.500 0.000 0.000 As
0.000 0.000 0.500 Se
```



Record 2
Density functional theory data (PBE) for a geometry-optimized UCoAsSe structure.

Computed properties:
Volume (Å³/atom): 17.99
Space-group type: P4/nmm
M_tot (μB/f.u.): 2.2
DOS at the Fermi energy (states/eV/atom): 1.60
E_form (uncorrected) (meV/atom): -625

Geometry as POSCAR:
```
UCoAsSe
1.0
4.083 0.000 0.000
0.000 4.083 0.000
0.000 0.000 8.633
U Co As Se
2 2 2 2
direct
0.500 0.000 0.745 U
0.000 0.500 0.255 U
0.500 0.500 0.000 Co
0.000 0.000 0.000 Co
0.000 0.500 0.849 As
0.500 0.000 0.151 As
0.000 0.000 0.500 Se
0.500 0.500 0.500 Se
```



Record 3
Density functional theory data (PBE) for a geometry-optimized VCoAs2Se structure.

Computed properties:
Volume (Å³/atom): 21.24
Space-group type: P4/mmm
M_tot (μB/f.u.): 2.2
Energy above the most stable polymorph in this dataset (eV/atom): 0.000
DOS at the Fermi energy (states/eV/atom): 0.99
E_form (uncorrected) (meV/atom): 664

Geometry as POSCAR:
```
VCoAs2Se
1.0
4.747 0.000 0.000
0.000 4.747 0.000
0.000 0.000 4.713
As Co Se V
2 1 1 1
direct
0.000 0.500 0.000 As
0.500 0.000 0.000 As
0.500 0.500 0.500 Co
0.000 0.000 0.500 Se
0.000 0.000 0.000 V
```



Record 4
Density functional theory data (PBE) for a geometry-optimized CoAs2WSe structure.

Computed properties:
Volume (Å³/atom): 18.18
Space-group type: P4/mmm
M_tot (μB/f.u.): 0.0
Energy above the most stable polymorph in this dataset (eV/atom): 0.050
DOS at the Fermi energy (states/eV/atom): 1.23
E_form (uncorrected) (meV/atom): 1045

Geometry as POSCAR:
```
CoAs2WSe
1.0
-2.823 -0.659 -3.363
-0.036 -4.351 0.882
-3.558 0.611 2.867
As Co Se W
2 1 1 1
direct
0.000 0.500 0.000 As
0.500 0.000 0.000 As
0.000 0.000 0.000 Co
0.000 0.000 0.500 Se
0.500 0.500 0.500 W
```